LaMn4B4 PBE optimized geometry; D(E_F) = 0.484 states/eV per atom; calculated total energy = -143.68 eV per cell; total magnetization = 4.75 μB/f.u.; ΔE_f = -391.4 meV/atom
1.0
-1.6308 -3.1600 -1.6434
6.0688 -1.2451 -3.6282
2.4044 -4.0564 5.4138
Mn La B
8 2 8
direct
0.3843 0.3738 0.8841
0.1157 0.1262 0.6159
0.6157 0.8841 0.6262
0.3843 0.6262 0.1159
0.6157 0.1159 0.3738
0.8843 0.3841 0.1262
0.1157 0.8738 0.3841
0.8843 0.6159 0.8738
0.0000 0.0000 0.0000
0.5000 0.5000 0.5000
0.3867 0.3042 0.1691
0.1133 0.8042 0.6691
0.3867 0.6958 0.8309
0.6133 0.1691 0.6958
0.8867 0.6691 0.1958
0.1133 0.1958 0.3309
0.8867 0.3309 0.8042
0.6133 0.8309 0.3042